Cu2OsSe after structural relaxation, computed with GGA-PBE.

space group: I4/mmm
raw formation energy: 632 meV/atom
size of the total moment: 0.1 μB/f.u.
DOS at the Fermi energy: 1.30 states/eV/atom

a b c (Å): 4.9966 4.9966 4.9966
angles (deg): 137.47 137.47 61.71
With the nearest neighbours (Å) after each atom.
Fractional positions:
Cu: 0.2500 0.7500 0.5000  4 Cu 2.56, 4 Se 2.81, 4 Os 2.81
Cu: 0.7500 0.2500 0.5000  4 Cu 2.56, 4 Se 2.81, 4 Os 2.81
Os: 0.0000 0.0000 0.0000  4 Se 2.56, 8 Cu 2.81
Se: 0.5000 0.5000 0.0000  4 Os 2.56, 8 Cu 2.81

***

SbP3 after structural relaxation, computed with GGA-PBE.

space group: Pmm2
raw formation energy: 198 meV/atom
size of the total moment: 0.0 μB/f.u.
polymorph energy (0 for the lowest one): 0 meV/atom
DOS at the Fermi energy: 0.09 states/eV/atom

a b c (Å): 3.6285 5.4248 4.1603
angles (deg): 90.00 90.00 90.00
With the nearest neighbours (Å) after each atom.
Fractional positions:
Sb: 0.0000 0.0000 0.0000  4 P 2.57-2.77
P: 0.0000 0.5000 0.8673  2 P 2.32
P: 0.5000 0.0000 0.4363  2 Sb 2.57, 2 P 2.74
P: 0.5000 0.5000 0.5215  2 P 2.32

***

HfSc2GaTc after structural relaxation, computed with GGA-PBE.

space group: P4/mmm
ΔE_f: 0.2672 eV/atom
size of the total moment: 0.0 μB/f.u.
DOS at the Fermi energy: 0.75 states/eV/atom

a b c (Å): 4.9667 4.9667 4.9834
angles (deg): 90.00 90.00 90.00
With the nearest neighbours (Å) after each atom.
Fractional positions:
Hf: 0.0000 0.0000 0.0000  2 Tc 2.49
Sc: 0.0000 0.5000 0.5000  2 Tc 2.48
Sc: 0.5000 0.0000 0.5000  2 Tc 2.48
Ga: 0.5000 0.5000 0.0000  4 Hf 3.51, 8 Sc 3.52
Tc: 0.0000 0.0000 0.5000  4 Sc 2.48, 2 Hf 2.49

***

NaCaScAs2 after structural relaxation, computed with GGA-PBE.

space group: P4/mmm
ΔE_f: 0.3163 eV/atom
size of the total moment: 0.7 μB/f.u.
DOS at the Fermi energy: 0.98 states/eV/atom

a b c (Å): 5.1734 5.1734 4.6379
angles (deg): 90.00 90.00 90.00
With the nearest neighbours (Å) after each atom.
Fractional positions:
Na: 0.0000 0.0000 0.0000  2 Ca 2.32, 4 As 2.59
Ca: 0.0000 0.0000 0.5000  2 Na 2.32
Sc: 0.5000 0.5000 0.5000  8 As 3.47, 4 Ca 3.66
As: 0.0000 0.5000 0.0000  2 Na 2.59
As: 0.5000 0.0000 0.0000  2 Na 2.59